VASP calculation (PBE) on a relaxed TmZr4C2S crystal.

Output
The volume is 17.9 Å³/atom. As for the space group: P-6m2. As for the total energy: -8.532 eV per atom.

Geometry as extended XYZ:
```
8
Lattice="3.395 0.000 0.000 -1.697 2.940 0.000 0.000 0.000 14.346" Properties=species:S:1:pos:R:3 pbc="T T T"
Zr 0.000 0.000 5.343
Zr 0.000 1.960 2.825
Zr 0.000 1.960 11.521
S 0.000 1.960 7.173
Tm 0.000 0.000 0.000
Zr 0.000 0.000 9.003
C 1.697 0.980 10.255
C 1.697 0.980 4.092
```